P:
# Ho3ReO8

A relaxed Ho3ReO8 crystal (GGA-PBEsol, the Alexandria database).

Structure (POSCAR):
```
Ho3ReO8
1.0
5.9613 0.0000 0.0000
0.0000 7.1008 -0.0141
0.0000 -1.9446 13.2456
Ho Re O
12 4 32
Cartesian
1.1761 4.9877 0.7092 Ho
4.4240 3.9322 2.6743 Ho
4.0889 0.1087 2.2048 Ho
1.1083 2.4694 4.4110 Ho
1.4433 5.7467 3.9274 Ho
4.1568 4.6912 5.8924 Ho
1.8045 0.4650 7.3391 Ho
4.5181 -0.5905 9.3041 Ho
4.8531 2.6868 8.8205 Ho
1.8724 5.0475 11.0267 Ho
1.5374 1.2241 10.5572 Ho
4.7852 0.1685 12.5223 Ho
1.4710 1.7399 1.1907 Re
4.4517 0.8382 5.4250 Re
1.5097 4.3180 7.8065 Re
4.4903 3.4164 12.0407 Re
1.8202 0.2312 0.2417 O
5.6420 1.2900 1.1756 O
4.8107 4.2440 0.2829 O
3.2779 2.2871 1.2676 O
0.8724 3.2632 2.2607 O
2.8023 5.4036 2.0689 O
5.7816 5.7885 2.2801 O
4.7609 1.7300 3.7655 O
1.7802 0.8481 2.8502 O
2.8009 3.8904 4.3215 O
5.7830 4.2753 4.5328 O
3.8531 6.4157 4.3409 O
1.1605 2.8093 6.8574 O
0.2972 0.2910 5.3482 O
1.8300 5.4349 6.3187 O
2.6613 1.2881 5.4401 O
3.3001 3.8682 7.7914 O
4.1313 -0.2787 6.9127 O
5.6642 4.8652 7.8833 O
4.8008 2.3469 6.3741 O
2.1082 -1.2594 8.8906 O
0.1784 0.8809 8.6987 O
3.1604 1.2658 8.9100 O
4.1811 4.3081 10.3813 O
1.2004 3.4262 9.4660 O
0.1797 -0.6323 10.9514 O
3.1591 -0.2474 11.1626 O
5.0889 1.8930 10.9708 O
2.6835 2.8691 11.9639 O
1.1506 0.9122 12.9486 O
0.3194 3.8662 12.0559 O
4.1412 4.9250 12.9898 O
```

Calculated values
**Space group**: No. 14
**Density of states at the Fermi level**: 0.0 states/eV/cell

Q:
# Ho3ReO8

A relaxed Ho3ReO8 crystal (GGA-PBEsol, the Alexandria database).

Structure (POSCAR):
```
Ho3ReO8
1.0
6.1866 0.0000 0.0000
0.0000 7.0356 0.0666
0.0000 -2.5647 6.5518
Ho Re O
6 2 16
Cartesian
4.6399 2.4142 5.8945 Ho
1.5466 1.3153 3.9308 Ho
1.5466 4.5671 4.4405 Ho
4.6399 -0.0961 2.1778 Ho
4.6399 3.1557 2.6876 Ho
1.5467 2.0568 0.7238 Ho
4.6399 -0.8150 5.3696 Re
1.5466 5.2860 1.2488 Re
1.5467 1.5724 6.3050 O
0.3251 -0.7249 5.3090 O
2.7682 -0.7249 5.3090 O
1.5466 6.8078 0.2211 O
4.6399 0.7723 4.2974 O
0.0000 3.0012 4.4428 O
3.0933 3.0012 4.4428 O
1.5466 -0.7913 2.8064 O
4.6399 5.2623 3.8119 O
0.0000 1.4698 2.1755 O
3.0933 1.4698 2.1755 O
1.5466 3.6987 2.3210 O
4.6399 -2.3368 6.3973 O
5.8615 5.1959 1.3094 O
3.4184 5.1959 1.3094 O
4.6399 2.8986 0.3134 O
```

Calculated values
**Space group**: No. 63
**Density of states at the Fermi level**: 0.0 states/eV/cell

Energy ordering: P at the bottom, the next structure 36 meV/atom above.

P:
# Ho2Se3O9

A relaxed Ho2Se3O9 crystal (GGA-PBEsol, the Alexandria database).

Structure (POSCAR):
```
Ho2Se3O9
1.0
6.9660 -0.0381 -0.0310
3.2141 7.2688 -0.0174
2.9821 1.7146 8.1251
Ho Se O
4 6 18
Cartesian
3.2463 2.2656 1.6656 Ho
6.4076 6.2901 4.7560 Ho
6.7546 2.6551 3.3207 Ho
9.9158 6.6796 6.4111 Ho
3.3540 2.7681 4.8134 Se
6.0546 5.9583 1.5455 Se
6.3274 7.1243 7.8230 Se
6.8348 1.8209 0.2536 Se
7.1075 2.9870 6.5312 Se
9.8081 6.1771 3.2633 Se
3.0529 1.2109 5.3732 O
3.3776 4.3379 1.0006 O
4.1304 6.0250 4.4591 O
4.5383 2.5247 3.5672 O
5.1727 6.4286 6.7426 O
5.4849 2.3323 1.2075 O
5.8935 3.1000 7.7123 O
6.4325 7.3734 2.4789 O
6.5475 4.8838 2.8161 O
6.6147 4.0614 5.2606 O
6.7296 1.5718 5.5977 O
7.2686 5.8452 0.3644 O
7.6773 6.6129 6.8692 O
7.9895 2.5166 1.3341 O
8.6238 6.4205 4.5094 O
9.0318 2.9202 3.6176 O
9.7846 4.6073 7.0761 O
10.1093 7.7343 2.7035 O
```

Calculated values
**Space group**: No. 2
**Density of states at the Fermi level**: 0.0 states/eV/cell

Q:
# Ho2Se3O9

A relaxed Ho2Se3O9 crystal (GGA-PBEsol, the Alexandria database).

Structure (POSCAR):
```
Ho2Se3O9
1.0
-0.9935 -1.1032 6.4859
-2.3142 -7.6109 -1.6490
12.9644 -4.2169 1.2685
Ho Se O
8 12 36
Cartesian
6.6063 -4.1570 1.5678 Ho
11.5073 -5.7511 2.0474 Ho
5.3201 -8.1058 1.5860 Ho
10.2211 -9.6999 2.0656 Ho
-0.5644 -3.2310 4.0399 Ho
4.3366 -4.8252 4.5194 Ho
-1.8506 -7.1798 4.0581 Ho
3.0504 -8.7739 4.5376 Ho
7.3874 -10.6378 -0.0252 Se
0.4305 -4.1613 0.5611 Se
3.6153 -5.1972 0.8727 Se
-0.8732 -8.1295 0.6935 Se
2.3116 -9.1654 1.0051 Se
8.2378 -7.1730 2.8019 Se
1.4189 -5.7580 3.3035 Se
7.3451 -3.7656 5.1004 Se
10.5299 -4.8015 5.4120 Se
6.0414 -7.7338 5.2328 Se
9.2262 -8.7697 5.5444 Se
2.2693 -2.2932 6.1306 Se
0.6062 -2.5877 -0.1360 O
4.5160 -3.8594 0.2466 O
9.2421 -4.5951 1.1070 O
-0.6617 -5.0652 -0.3805 O
4.1196 -6.6204 0.0873 O
-1.7234 -7.3269 -0.5799 O
3.6775 -9.0836 -0.0514 O
8.5600 -11.1599 1.1346 O
5.9495 -10.3107 0.8792 O
9.7215 -7.3495 1.9302 O
7.1110 -6.5004 1.6748 O
-0.7922 -3.7723 1.7196 O
4.6086 -5.5290 2.2480 O
0.1682 -1.6231 2.5802 O
4.9495 -3.1783 3.0480 O
7.7260 -8.7992 2.6267 O
-0.9861 -6.8765 1.8809 O
2.9237 -8.1482 2.2635 O
6.7330 -4.7828 3.8420 O
10.6428 -6.0545 4.2245 O
1.9307 -4.1317 3.4788 O
4.7072 -9.7527 3.0575 O
9.4885 -11.3079 3.5253 O
5.0481 -7.4019 3.8574 O
10.4489 -9.1586 4.3859 O
-0.0648 -5.5815 4.1752 O
2.5457 -6.4306 4.4307 O
1.0967 -1.7711 4.9709 O
3.7072 -2.6202 5.2263 O
5.9792 -3.8473 6.1569 O
11.3801 -5.6040 6.6854 O
5.5371 -6.3106 6.0181 O
10.3184 -7.8658 6.4860 O
0.4146 -8.3359 4.9985 O
5.1407 -9.0715 5.8589 O
9.0505 -10.3433 6.2415 O
```

Calculated values
**Space group**: No. 62
**Density of states at the Fermi level**: 0.0 states/eV/cell

R:
# Ho2Se3O9

A relaxed Ho2Se3O9 crystal (GGA-PBEsol, the Alexandria database).

Structure (POSCAR):
```
Ho2Se3O9
1.0
8.0944 0.0000 0.0000
0.0000 8.5012 0.0000
0.0000 -4.2506 7.3623
Ho Se O
4 6 18
Cartesian
3.7252 0.0000 4.9082 Ho
0.3220 0.0000 4.9082 Ho
7.7724 4.2506 2.4541 Ho
4.3692 4.2506 2.4541 Ho
6.0708 -1.8612 7.1531 Se
6.0708 2.8747 5.3976 Se
6.0708 -1.0135 2.1739 Se
2.0236 5.2642 5.1884 Se
2.0236 1.3759 1.9647 Se
2.0236 6.1118 0.2092 Se
4.7380 -1.3793 6.2220 O
7.4036 -1.3793 6.2220 O
2.0236 0.6341 6.3371 O
2.0236 -1.5545 4.7429 O
7.4036 1.8274 5.4458 O
4.7380 1.8274 5.4458 O
7.4036 -0.4481 3.0568 O
4.7380 -0.4481 3.0568 O
2.0236 0.9204 3.6446 O
6.0708 3.3302 3.7177 O
0.6908 4.6988 4.3055 O
3.3564 4.6988 4.3055 O
3.3564 2.4232 1.9165 O
0.6908 2.4232 1.9165 O
6.0708 5.8051 2.6194 O
6.0708 3.6165 1.0252 O
3.3564 5.6299 1.1403 O
0.6908 5.6299 1.1403 O
```

Calculated values
**Space group**: No. 176
**Density of states at the Fermi level**: 0.0 states/eV/cell

Energy ordering: P at the bottom, the next structure 44 meV/atom above.